No. 1
# CaZnSe4 GGA-PBE relaxed
data_CaZnSe4
_chemical_formula_sum 'Ca1 Zn1 Se4'
_cell_length_a 5.8360
_cell_length_b 5.8360
_cell_length_c 5.8360
_cell_angle_alpha 60.00
_cell_angle_beta 60.00
_cell_angle_gamma 60.00
_symmetry_space_group_name_H-M 'P 1'
_symmetry_Int_Tables_number 1
loop_
_symmetry_equiv_pos_as_xyz
'x,y,z'
loop_
_atom_site_label
_atom_site_type_symbol
_atom_site_fract_x
_atom_site_fract_y
_atom_site_fract_z
Ca1 Ca 0.0000 0.0000 0.0000
Zn1 Zn 0.2500 0.2500 0.2500
Se1 Se 0.1262 0.6246 0.6246
Se2 Se 0.6246 0.1262 0.6246
Se3 Se 0.6246 0.6246 0.1262
Se4 Se 0.6246 0.6246 0.6246
# Total moment: 0.0 Bohr magnetons per cell
# Electronic total energy: -3.006 eV per atom
# Uncorrected formation energy: -0.137 eV per atom



No. 2
# CaZnSe3 GGA-PBE relaxed
data_CaZnSe3
_chemical_formula_sum 'Ca1 Zn1 Se3'
_cell_length_a 4.9885
_cell_length_b 4.9885
_cell_length_c 4.9885
_cell_angle_alpha 90.00
_cell_angle_beta 90.00
_cell_angle_gamma 90.00
_symmetry_space_group_name_H-M 'P 1'
_symmetry_Int_Tables_number 1
loop_
_symmetry_equiv_pos_as_xyz
'x,y,z'
loop_
_atom_site_label
_atom_site_type_symbol
_atom_site_fract_x
_atom_site_fract_y
_atom_site_fract_z
Ca1 Ca 0.0000 0.0000 0.0000
Zn1 Zn 0.5000 0.5000 0.5000
Se1 Se 0.0000 0.5000 0.5000
Se2 Se 0.5000 0.0000 0.5000
Se3 Se 0.5000 0.5000 0.0000
# Energy above the lowest structure with this stoichiometry: 0.000 eV/atom
# Total moment: 0.0 Bohr magnetons per cell
# Electronic total energy: -3.252 eV per atom
# Uncorrected formation energy: -0.506 eV per atom



No. 3
# CaZnSe GGA-PBE relaxed
data_CaZnSe
_chemical_formula_sum 'Ca4 Zn4 Se4'
_cell_length_a 6.9443
_cell_length_b 6.9443
_cell_length_c 6.9443
_cell_angle_alpha 90.00
_cell_angle_beta 90.00
_cell_angle_gamma 90.00
_symmetry_space_group_name_H-M 'P 1'
_symmetry_Int_Tables_number 1
loop_
_symmetry_equiv_pos_as_xyz
'x,y,z'
loop_
_atom_site_label
_atom_site_type_symbol
_atom_site_fract_x
_atom_site_fract_y
_atom_site_fract_z
Ca1 Ca 0.0000 0.0000 0.0000
Ca2 Ca 0.0000 0.5000 0.5000
Ca3 Ca 0.5000 0.0000 0.5000
Ca4 Ca 0.5000 0.5000 0.0000
Zn1 Zn 0.2500 0.2500 0.2500
Zn2 Zn 0.2500 0.7500 0.7500
Zn3 Zn 0.7500 0.2500 0.7500
Zn4 Zn 0.7500 0.7500 0.2500
Se1 Se 0.2500 0.2500 0.7500
Se2 Se 0.2500 0.7500 0.2500
Se3 Se 0.7500 0.2500 0.2500
Se4 Se 0.7500 0.7500 0.7500
# Energy above the lowest structure with this stoichiometry: 0.114 eV/atom
# Total moment: 0.0 Bohr magnetons per cell
# Electronic total energy: -3.024 eV per atom
# Uncorrected formation energy: -0.770 eV per atom



No. 4
# Ca2ZnSe4 GGA-PBE relaxed
data_Ca2ZnSe4
_chemical_formula_sum 'Ca4 Zn2 Se8'
_cell_length_a 4.9817
_cell_length_b 4.9817
_cell_length_c 14.7645
_cell_angle_alpha 90.00
_cell_angle_beta 90.00
_cell_angle_gamma 90.00
_symmetry_space_group_name_H-M 'P 1'
_symmetry_Int_Tables_number 1
loop_
_symmetry_equiv_pos_as_xyz
'x,y,z'
loop_
_atom_site_label
_atom_site_type_symbol
_atom_site_fract_x
_atom_site_fract_y
_atom_site_fract_z
Ca1 Ca 0.0000 0.0000 0.1288
Ca2 Ca 0.0000 0.0000 0.8712
Ca3 Ca 0.5000 0.5000 0.3712
Ca4 Ca 0.5000 0.5000 0.6288
Zn1 Zn 0.0000 0.0000 0.5000
Zn2 Zn 0.5000 0.5000 0.0000
Se1 Se 0.0000 0.0000 0.3201
Se2 Se 0.0000 0.0000 0.6799
Se3 Se 0.0000 0.5000 0.0000
Se4 Se 0.0000 0.5000 0.5000
Se5 Se 0.5000 0.0000 0.0000
Se6 Se 0.5000 0.0000 0.5000
Se7 Se 0.5000 0.5000 0.1799
Se8 Se 0.5000 0.5000 0.8201
# Total moment: 0.0 Bohr magnetons per cell
# Electronic total energy: -3.640 eV per atom
# Uncorrected formation energy: -0.895 eV per atom



No. 5
# CaZn4Se GGA-PBE relaxed
data_CaZn4Se
_chemical_formula_sum 'Ca1 Zn4 Se1'
_cell_length_a 5.5090
_cell_length_b 5.5090
_cell_length_c 5.5090
_cell_angle_alpha 60.00
_cell_angle_beta 60.00
_cell_angle_gamma 60.00
_symmetry_space_group_name_H-M 'P 1'
_symmetry_Int_Tables_number 1
loop_
_symmetry_equiv_pos_as_xyz
'x,y,z'
loop_
_atom_site_label
_atom_site_type_symbol
_atom_site_fract_x
_atom_site_fract_y
_atom_site_fract_z
Ca1 Ca 0.0000 0.0000 0.0000
Zn1 Zn 0.3750 0.3750 0.3750
Zn2 Zn 0.3750 0.3750 0.8751
Zn3 Zn 0.3750 0.8751 0.3750
Zn4 Zn 0.8751 0.3750 0.3750
Se1 Se 0.7500 0.7500 0.7500
# Total moment: 0.0 Bohr magnetons per cell
# Electronic total energy: -1.906 eV per atom
# Uncorrected formation energy: -0.142 eV per atom



No. 6
# CaZnSe GGA-PBE relaxed
data_CaZnSe
_chemical_formula_sum 'Ca4 Zn4 Se4'
_cell_length_a 7.0843
_cell_length_b 7.0843
_cell_length_c 7.0843
_cell_angle_alpha 90.00
_cell_angle_beta 90.00
_cell_angle_gamma 90.00
_symmetry_space_group_name_H-M 'P 1'
_symmetry_Int_Tables_number 1
loop_
_symmetry_equiv_pos_as_xyz
'x,y,z'
loop_
_atom_site_label
_atom_site_type_symbol
_atom_site_fract_x
_atom_site_fract_y
_atom_site_fract_z
Ca1 Ca 0.0000 0.0000 0.0000
Ca2 Ca 0.0000 0.5000 0.5000
Ca3 Ca 0.5000 0.0000 0.5000
Ca4 Ca 0.5000 0.5000 0.0000
Zn1 Zn 0.0000 0.0000 0.5000
Zn2 Zn 0.0000 0.5000 0.0000
Zn3 Zn 0.5000 0.0000 0.0000
Zn4 Zn 0.5000 0.5000 0.5000
Se1 Se 0.2500 0.2500 0.7500
Se2 Se 0.2500 0.7500 0.2500
Se3 Se 0.7500 0.2500 0.2500
Se4 Se 0.7500 0.7500 0.7500
# Energy above the lowest structure with this stoichiometry: 0.239 eV/atom
# Total moment: 0.0 Bohr magnetons per cell
# Electronic total energy: -2.899 eV per atom
# Uncorrected formation energy: -0.646 eV per atom



No. 7
# CaZnSe3 GGA-PBE relaxed
data_CaZnSe3
_chemical_formula_sum 'Ca1 Zn1 Se3'
_cell_length_a 5.5746
_cell_length_b 5.5746
_cell_length_c 5.5746
_cell_angle_alpha 90.00
_cell_angle_beta 90.00
_cell_angle_gamma 90.00
_symmetry_space_group_name_H-M 'P 1'
_symmetry_Int_Tables_number 1
loop_
_symmetry_equiv_pos_as_xyz
'x,y,z'
loop_
_atom_site_label
_atom_site_type_symbol
_atom_site_fract_x
_atom_site_fract_y
_atom_site_fract_z
Ca1 Ca 0.0000 0.0000 0.0000
Zn1 Zn 0.5000 0.5000 0.5000
Se1 Se 0.0000 0.0000 0.5000
Se2 Se 0.0000 0.5000 0.0000
Se3 Se 0.5000 0.0000 0.0000
# Energy above the lowest structure with this stoichiometry: 0.662 eV/atom
# Total moment: 3.7 Bohr magnetons per cell
# Electronic total energy: -2.590 eV per atom
# Uncorrected formation energy: 0.156 eV per atom



No. 8
# CaZrSe GGA-PBE relaxed
data_CaZrSe
_chemical_formula_sum 'Ca2 Zr2 Se2'
_cell_length_a 3.4923
_cell_length_b 3.4923
_cell_length_c 12.1907
_cell_angle_alpha 90.00
_cell_angle_beta 90.00
_cell_angle_gamma 90.00
_symmetry_space_group_name_H-M 'P 1'
_symmetry_Int_Tables_number 1
loop_
_symmetry_equiv_pos_as_xyz
'x,y,z'
loop_
_atom_site_label
_atom_site_type_symbol
_atom_site_fract_x
_atom_site_fract_y
_atom_site_fract_z
Ca1 Ca 0.0000 0.0000 0.0000
Ca2 Ca 0.5000 0.5000 0.5000
Zr1 Zr 0.0000 0.0000 0.2864
Zr2 Zr 0.5000 0.5000 0.7864
Se1 Se 0.0000 0.0000 0.6772
Se2 Se 0.5000 0.5000 0.1772
# Energy above the lowest structure with this stoichiometry: 0.267 eV/atom
# Total moment: 0.0 Bohr magnetons per cell
# Electronic total energy: -5.412 eV per atom
# Uncorrected formation energy: -0.734 eV per atom



No. 9
# CaZr4Se GGA-PBE relaxed
data_CaZr4Se
_chemical_formula_sum 'Ca1 Zr4 Se1'
_cell_length_a 6.0029
_cell_length_b 6.0029
_cell_length_c 6.0029
_cell_angle_alpha 60.00
_cell_angle_beta 60.00
_cell_angle_gamma 60.00
_symmetry_space_group_name_H-M 'P 1'
_symmetry_Int_Tables_number 1
loop_
_symmetry_equiv_pos_as_xyz
'x,y,z'
loop_
_atom_site_label
_atom_site_type_symbol
_atom_site_fract_x
_atom_site_fract_y
_atom_site_fract_z
Ca1 Ca 0.0000 0.0000 0.0000
Zr1 Zr 0.3708 0.3708 0.3708
Zr2 Zr 0.3708 0.3708 0.8876
Zr3 Zr 0.3708 0.8876 0.3708
Zr4 Zr 0.8876 0.3708 0.3708
Se1 Se 0.7500 0.7500 0.7500
# Total moment: 0.0 Bohr magnetons per cell
# Electronic total energy: -6.270 eV per atom
# Uncorrected formation energy: 0.343 eV per atom



No. 10
# CaZr2Se GGA-PBE relaxed
data_CaZr2Se
_chemical_formula_sum 'Ca3 Zr6 Se3'
_cell_length_a 3.5162
_cell_length_b 3.5162
_cell_length_c 28.4851
_cell_angle_alpha 90.00
_cell_angle_beta 90.00
_cell_angle_gamma 120.00
_symmetry_space_group_name_H-M 'P 1'
_symmetry_Int_Tables_number 1
loop_
_symmetry_equiv_pos_as_xyz
'x,y,z'
loop_
_atom_site_label
_atom_site_type_symbol
_atom_site_fract_x
_atom_site_fract_y
_atom_site_fract_z
Ca1 Ca 0.0000 0.0000 0.0000
Ca2 Ca 0.3333 0.6667 0.6667
Ca3 Ca 0.6667 0.3333 0.3333
Zr1 Zr 0.0000 0.0000 0.2308
Zr2 Zr 0.0000 0.0000 0.7692
Zr3 Zr 0.3333 0.6667 0.4359
Zr4 Zr 0.3333 0.6667 0.8975
Zr5 Zr 0.6667 0.3333 0.1025
Zr6 Zr 0.6667 0.3333 0.5641
Se1 Se 0.0000 0.0000 0.5000
Se2 Se 0.3333 0.6667 0.1667
Se3 Se 0.6667 0.3333 0.8333
# Total moment: 0.0 Bohr magnetons per cell
# Electronic total energy: -5.974 eV per atom
# Uncorrected formation energy: -0.329 eV per atom



No. 11
# Ca3ZrSe GGA-PBE relaxed
data_Ca3ZrSe
_chemical_formula_sum 'Ca3 Zr1 Se1'
_cell_length_a 5.5797
_cell_length_b 5.5797
_cell_length_c 5.5797
_cell_angle_alpha 90.00
_cell_angle_beta 90.00
_cell_angle_gamma 90.00
_symmetry_space_group_name_H-M 'P 1'
_symmetry_Int_Tables_number 1
loop_
_symmetry_equiv_pos_as_xyz
'x,y,z'
loop_
_atom_site_label
_atom_site_type_symbol
_atom_site_fract_x
_atom_site_fract_y
_atom_site_fract_z
Ca1 Ca 0.0000 0.0000 0.5000
Ca2 Ca 0.0000 0.5000 0.0000
Ca3 Ca 0.5000 0.0000 0.0000
Zr1 Zr 0.5000 0.5000 0.5000
Se1 Se 0.0000 0.0000 0.0000
# Energy above the lowest structure with this stoichiometry: 0.000 eV/atom
# Total moment: 4.1 Bohr magnetons per cell
# Electronic total energy: -3.794 eV per atom
# Uncorrected formation energy: -0.186 eV per atom



No. 12
# CaZr2Se GGA-PBE relaxed
data_CaZr2Se
_chemical_formula_sum 'Ca2 Zr4 Se2'
_cell_length_a 10.3859
_cell_length_b 3.4058
_cell_length_c 6.0183
_cell_angle_alpha 90.00
_cell_angle_beta 105.12
_cell_angle_gamma 90.00
_symmetry_space_group_name_H-M 'P 1'
_symmetry_Int_Tables_number 1
loop_
_symmetry_equiv_pos_as_xyz
'x,y,z'
loop_
_atom_site_label
_atom_site_type_symbol
_atom_site_fract_x
_atom_site_fract_y
_atom_site_fract_z
Ca1 Ca 0.0000 0.0000 0.0000
Ca2 Ca 0.5000 0.5000 0.0000
Zr1 Zr 0.0591 0.5000 0.5218
Zr2 Zr 0.3068 0.5000 0.4018
Zr3 Zr 0.5591 0.0000 0.5218
Zr4 Zr 0.8068 0.0000 0.4018
Se1 Se 0.2586 0.0000 0.7668
Se2 Se 0.7586 0.5000 0.7668
# Total moment: 0.0 Bohr magnetons per cell
# Electronic total energy: -5.950 eV per atom
# Uncorrected formation energy: -0.304 eV per atom



No. 13
# CaZrSe GGA-PBE relaxed
data_CaZrSe
_chemical_formula_sum 'Ca1 Zr1 Se1'
_cell_length_a 4.6624
_cell_length_b 4.6624
_cell_length_c 4.0625
_cell_angle_alpha 90.00
_cell_angle_beta 90.00
_cell_angle_gamma 120.00
_symmetry_space_group_name_H-M 'P 1'
_symmetry_Int_Tables_number 1
loop_
_symmetry_equiv_pos_as_xyz
'x,y,z'
loop_
_atom_site_label
_atom_site_type_symbol
_atom_site_fract_x
_atom_site_fract_y
_atom_site_fract_z
Ca1 Ca 0.0000 0.0000 0.0000
Zr1 Zr 0.3333 0.6667 0.5000
Se1 Se 0.6667 0.3333 0.5000
# Energy above the lowest structure with this stoichiometry: 0.523 eV/atom
# Total moment: 0.0 Bohr magnetons per cell
# Electronic total energy: -5.157 eV per atom
# Uncorrected formation energy: -0.479 eV per atom



No. 14
# Ca2ZrSe GGA-PBE relaxed
data_Ca2ZrSe
_chemical_formula_sum 'Ca4 Zr2 Se2'
_cell_length_a 4.4778
_cell_length_b 4.0966
_cell_length_c 12.2305
_cell_angle_alpha 90.00
_cell_angle_beta 90.00
_cell_angle_gamma 90.00
_symmetry_space_group_name_H-M 'P 1'
_symmetry_Int_Tables_number 1
loop_
_symmetry_equiv_pos_as_xyz
'x,y,z'
loop_
_atom_site_label
_atom_site_type_symbol
_atom_site_fract_x
_atom_site_fract_y
_atom_site_fract_z
Ca1 Ca 0.0000 0.0000 0.0000
Ca2 Ca 0.0000 0.5000 0.5000
Ca3 Ca 0.5000 0.0000 0.3159
Ca4 Ca 0.5000 0.5000 0.8159
Zr1 Zr 0.0000 0.0000 0.7143
Zr2 Zr 0.0000 0.5000 0.2143
Se1 Se 0.5000 0.0000 0.5890
Se2 Se 0.5000 0.5000 0.0890
# Total moment: 0.0 Bohr magnetons per cell
# Electronic total energy: -4.437 eV per atom
# Uncorrected formation energy: -0.428 eV per atom